# PBE Ba2TlPt, optimized geometry
# ΔE_f in meV/atom: -513
# E in eV for the cell shown: -14.3
# Crystal system: orthorhombic
# Energy above the most stable polymorph in this dataset in eV/f.u.: 0.00
data_Ba2TlPt
_cell_length_a 3.905
_cell_length_b 3.956
_cell_length_c 8.873
_cell_angle_alpha 90.00
_cell_angle_beta 90.00
_cell_angle_gamma 90.00
_symmetry_space_group_name_H-M 'P m m m'
_symmetry_Int_Tables_number 47
_symmetry_space_group_name_Hall '-P 2 2'
loop_
_atom_site_label
_atom_site_fract_x
_atom_site_fract_y
_atom_site_fract_z
Ba1 0.000 0.000 0.210
Tl1 0.500 0.500 0.500
Pt1 0.500 0.500 0.000